<A>
VASP calculation (PBE) on a geometry-optimized Li8Cd2Au structure.

- Density of states at the Fermi level: 0.437 states/eV/atom
- Crystal system: monoclinic
- Symmetry: C2/m (12)

a b c (Å): 4.428 6.068 7.653
angles (deg): 101.83 106.81 90.00
Fractional positions:
Li 0.144 0.161 0.287
Li 0.406 0.570 0.812
Li 0.594 0.430 0.188
Cd 0.784 0.360 0.568
Au 0.500 0.000 0.000
Li 0.967 0.256 0.935
Li 0.033 0.744 0.065
Li 0.330 0.100 0.659
Cd 0.216 0.640 0.432
Li 0.670 0.900 0.341
Li 0.856 0.839 0.713

***

<B>
VASP calculation (PBE) on a geometry-optimized Li8Cd2Au structure.

- Density of states at the Fermi level: 0.420 states/eV/atom
- Crystal system: monoclinic
- Symmetry: C2/m (12)

a b c (Å): 7.128 5.997 5.997
angles (deg): 53.22 74.73 74.73
Fractional positions:
Li 0.817 0.609 0.609
Li 0.183 0.391 0.391
Li 0.046 0.761 0.761
Li 0.687 0.691 0.162
Li 0.313 0.838 0.309
Cd 0.409 0.806 0.806
Li 0.687 0.162 0.691
Au 0.000 0.000 0.000
Li 0.954 0.239 0.239
Li 0.313 0.309 0.838
Cd 0.591 0.194 0.194

***

What should be chosen as the least stable of them? Choose <B>.

***

<A>
VASP calculation (PBE) on a geometry-optimized LiCd6Au5 structure.

- Density of states at the Fermi level: 0.346 states/eV/atom
- Crystal system: monoclinic
- Symmetry: C2/m (12)

a b c (Å): 9.106 4.362 6.962
angles (deg): 71.74 81.41 61.51
Fractional positions:
Cd 0.756 0.410 0.666
Au 0.000 0.345 0.311
Au 0.500 0.500 0.000
Cd 0.244 0.923 0.666
Cd 0.744 0.757 0.000
Li 0.000 0.000 0.000
Cd 0.244 0.590 0.334
Cd 0.756 0.077 0.334
Au 0.500 0.171 0.659
Cd 0.256 0.243 0.000
Au 0.500 0.829 0.341
Au 0.000 0.655 0.689

***

<B>
VASP calculation (PBE) on a geometry-optimized LiCd6Au5 structure.

- Density of states at the Fermi level: 0.190 states/eV/atom
- Crystal system: monoclinic
- Symmetry: C2/m (12)

a b c (Å): 4.591 8.088 8.088
angles (deg): 115.01 106.36 106.36
Fractional positions:
Cd 0.745 0.912 0.579
Cd 0.255 0.421 0.088
Li 0.000 0.000 0.000
Cd 0.761 0.261 0.261
Au 0.000 0.325 0.675
Cd 0.255 0.088 0.421
Cd 0.239 0.739 0.739
Au 0.000 0.675 0.325
Cd 0.745 0.579 0.912
Au 0.500 0.500 0.500
Au 0.500 0.154 0.846
Au 0.500 0.846 0.154

***

What should be chosen as the least stable of them? Choose <A>.

***

<A>
VASP calculation (PBE) on a geometry-optimized Li5CdAu4 structure.

- Density of states at the Fermi level: 0.345 states/eV/atom
- Crystal system: tetragonal
- Symmetry: P4/mmm (123)

a b c (Å): 3.224 3.224 15.275
angles (deg): 90.00 90.00 90.00
Fractional positions:
Au 0.000 0.000 0.597
Li 0.500 0.500 0.306
Li 0.500 0.500 0.884
Au 0.000 0.000 0.792
Au 0.000 0.000 0.208
Li 0.500 0.500 0.116
Li 0.500 0.500 0.694
Cd 0.000 0.000 0.000
Au 0.000 0.000 0.403
Li 0.500 0.500 0.500

***

<B>
VASP calculation (PBE) on a geometry-optimized Li5CdAu4 structure.

- Density of states at the Fermi level: 0.267 states/eV/atom
- Crystal system: tetragonal
- Symmetry: P4/mmm (123)

a b c (Å): 2.946 2.946 18.661
angles (deg): 90.00 90.00 90.00
Fractional positions:
Au 0.000 0.000 0.404
Au 0.000 0.000 0.596
Li 0.500 0.500 0.500
Li 0.500 0.500 0.692
Li 0.500 0.500 0.882
Au 0.000 0.000 0.211
Au 0.000 0.000 0.789
Li 0.500 0.500 0.118
Li 0.500 0.500 0.308
Cd 0.000 0.000 0.000

***

What should be chosen as the least stable of them? Choose <B>.

***

<A>
VASP calculation (PBE) on a geometry-optimized LiCd3Au structure.

- Density of states at the Fermi level: 0.400 states/eV/atom
- Crystal system: monoclinic
- Symmetry: C2/m (12)

a b c (Å): 6.645 6.645 7.251
angles (deg): 105.04 133.08 88.37
Fractional positions:
Cd 0.771 0.927 0.195
Li 0.271 0.923 0.195
Cd 0.231 0.584 0.814
Li 0.729 0.077 0.805
Cd 0.769 0.416 0.186
Au 0.258 0.238 0.496
Cd 0.732 0.576 0.805
Au 0.742 0.762 0.504
Cd 0.229 0.073 0.805
Cd 0.268 0.424 0.195

***

<B>
VASP calculation (PBE) on a geometry-optimized LiCd3Au structure.

- Density of states at the Fermi level: 0.378 states/eV/atom
- Crystal system: cubic
- Symmetry: Pm-3m (221)

a b c (Å): 5.295 5.295 5.295
angles (deg): 90.00 90.00 90.00
Fractional positions:
Cd 0.500 0.000 0.000
Li 0.500 0.500 0.500
Au 0.000 0.000 0.000
Cd 0.000 0.000 0.500
Cd 0.000 0.500 0.000

***

<C>
VASP calculation (PBE) on a geometry-optimized LiCd3Au structure.

- Density of states at the Fermi level: 0.269 states/eV/atom
- Crystal system: orthorhombic
- Symmetry: Cmcm (63)

a b c (Å): 4.481 4.490 9.885
angles (deg): 90.00 76.90 90.00
Fractional positions:
Cd 0.269 0.750 0.111
Cd 0.380 0.250 0.889
Li 0.170 0.250 0.309
Au 0.979 0.250 0.690
Cd 0.883 0.750 0.883
Cd 0.574 0.250 0.501
Cd 0.075 0.750 0.499
Li 0.478 0.750 0.691
Cd 0.766 0.250 0.117
Au 0.669 0.750 0.310

***

What should be chosen as the least stable of them? Choose <B>.

***

<A>
VASP calculation (PBE) on a geometry-optimized Li4Cd3Au4 structure.

- Density of states at the Fermi level: 0.257 states/eV/atom
- Crystal system: triclinic
- Symmetry: P-1 (2)

a b c (Å): 3.014 3.933 16.501
angles (deg): 96.92 95.26 90.02
Fractional positions:
Au 0.188 0.189 0.377
Li 0.089 0.090 0.179
Li 0.726 0.727 0.453
Au 0.812 0.811 0.623
Au 0.449 0.447 0.898
Li 0.911 0.910 0.821
Au 0.551 0.553 0.102
Li 0.274 0.273 0.547
Cd 0.639 0.639 0.278
Cd 0.361 0.361 0.722
Cd 0.000 0.000 0.000

***

<B>
VASP calculation (PBE) on a geometry-optimized Li4Cd3Au4 structure.

- Density of states at the Fermi level: 0.199 states/eV/atom
- Crystal system: orthorhombic
- Symmetry: Immm (71)

a b c (Å): 3.917 7.314 8.314
angles (deg): 116.10 103.63 90.00
Fractional positions:
Cd 0.121 0.121 0.242
Au 0.500 0.196 0.000
Au 0.769 0.269 0.539
Cd 0.000 0.500 0.000
Li 0.668 0.474 0.336
Li 0.668 0.862 0.336
Cd 0.879 0.879 0.758
Au 0.500 0.804 0.000
Au 0.231 0.731 0.461
Li 0.332 0.138 0.664
Li 0.332 0.526 0.664

***

What should be chosen as the least stable of them? Choose <B>.

***

<A>
VASP calculation (PBE) on a geometry-optimized LiCd12Au6 structure.

- Density of states at the Fermi level: 0.248 states/eV/atom
- Crystal system: trigonal
- Symmetry: R-3 (148)

a b c (Å): 7.255 7.255 7.255
angles (deg): 88.88 88.88 88.88
Fractional positions:
Cd 0.803 0.529 0.432
Au 0.728 0.887 0.261
Cd 0.852 0.631 0.963
Cd 0.568 0.197 0.471
Au 0.739 0.272 0.113
Cd 0.631 0.963 0.852
Cd 0.197 0.471 0.568
Au 0.272 0.113 0.739
Cd 0.369 0.037 0.148
Cd 0.037 0.148 0.369
Au 0.113 0.739 0.272
Au 0.261 0.728 0.887
Cd 0.148 0.369 0.037
Cd 0.432 0.803 0.529
Cd 0.529 0.432 0.803
Li 0.000 0.000 0.000
Cd 0.963 0.852 0.631
Au 0.887 0.261 0.728
Cd 0.471 0.568 0.197

***

<B>
VASP calculation (PBE) on a geometry-optimized LiCd12Au6 structure.

- Density of states at the Fermi level: 0.274 states/eV/atom
- Crystal system: trigonal
- Symmetry: R-3 (148)

a b c (Å): 8.030 8.030 8.030
angles (deg): 110.75 110.75 110.75
Fractional positions:
Cd 0.830 0.257 0.888
Cd 0.475 0.205 0.321
Cd 0.112 0.170 0.743
Cd 0.205 0.321 0.475
Cd 0.888 0.830 0.257
Au 0.429 0.643 0.944
Cd 0.321 0.475 0.205
Cd 0.743 0.112 0.170
Au 0.643 0.944 0.429
Cd 0.170 0.743 0.112
Au 0.571 0.357 0.056
Au 0.357 0.056 0.571
Cd 0.525 0.795 0.679
Cd 0.795 0.679 0.525
Cd 0.257 0.888 0.830
Au 0.944 0.429 0.643
Cd 0.679 0.525 0.795
Au 0.056 0.571 0.357
Li 0.000 0.000 0.000

***

What should be chosen as the least stable of them? Choose <B>.

***

<A>
VASP calculation (PBE) on a geometry-optimized Li5Cd2Au5 structure.

- Density of states at the Fermi level: 0.237 states/eV/atom
- Crystal system: monoclinic
- Symmetry: C2/m (12)

a b c (Å): 3.974 8.521 6.672
angles (deg): 98.53 72.67 76.51
Fractional positions:
Li 0.981 0.773 0.264
Li 0.680 0.239 0.401
Cd 0.655 0.509 0.182
Li 0.320 0.761 0.599
Cd 0.345 0.491 0.818
Li 0.019 0.227 0.736
Li 0.000 0.000 0.000
Au 0.342 0.243 0.072
Au 0.000 0.500 0.500
Au 0.658 0.757 0.928
Au 0.669 0.996 0.666
Au 0.331 0.004 0.334

***

<B>
VASP calculation (PBE) on a geometry-optimized Li5Cd2Au5 structure.

- Density of states at the Fermi level: 0.334 states/eV/atom
- Crystal system: monoclinic
- Symmetry: C2/m (12)

a b c (Å): 3.989 6.502 9.188
angles (deg): 114.80 90.00 107.86
Fractional positions:
Li 0.665 0.330 0.004
Li 0.500 0.000 0.500
Au 0.000 0.000 0.000
Cd 0.920 0.839 0.248
Au 0.839 0.678 0.508
Li 0.397 0.794 0.741
Au 0.751 0.503 0.765
Li 0.335 0.670 0.996
Au 0.249 0.497 0.235
Cd 0.080 0.161 0.752
Li 0.603 0.206 0.259
Au 0.161 0.322 0.492

***

What should be chosen as the least stable of them? Choose <B>.

***

<A>
VASP calculation (PBE) on a geometry-optimized Li2CdAu structure.

- Density of states at the Fermi level: 0.318 states/eV/atom
- Crystal system: cubic
- Symmetry: Fm-3m (225)

a b c (Å): 4.519 4.519 4.519
angles (deg): 60.00 60.00 60.00
Fractional positions:
Li 0.250 0.250 0.250
Cd 0.000 0.000 0.000
Li 0.750 0.750 0.750
Au 0.500 0.500 0.500

***

<B>
VASP calculation (PBE) on a geometry-optimized Li2CdAu structure.

- Density of states at the Fermi level: 0.319 states/eV/atom
- Crystal system: tetragonal
- Symmetry: P4/mmm (123)

a b c (Å): 4.395 3.436 4.394
angles (deg): 90.00 90.00 90.00
Fractional positions:
Li 0.500 0.125 0.375
Au 0.000 0.625 0.375
Cd 0.500 0.625 0.875
Li 0.000 0.125 0.875

***

What should be chosen as the least stable of them? Choose <B>.

***

<A>
VASP calculation (PBE) on a geometry-optimized Li2CdAu structure.

- Density of states at the Fermi level: 0.395 states/eV/atom
- Crystal system: orthorhombic
- Symmetry: Pmm2 (25)

a b c (Å): 2.941 4.046 5.866
angles (deg): 90.00 90.00 90.00
Fractional positions:
Li 0.000 0.000 0.004
Au 0.000 0.000 0.468
Li 0.500 0.500 0.270
Cd 0.500 0.500 0.758

***

<B>
VASP calculation (PBE) on a geometry-optimized Li2CdAu structure.

- Density of states at the Fermi level: 0.280 states/eV/atom
- Crystal system: tetragonal
- Symmetry: I-4m2 (119)

a b c (Å): 4.999 4.999 4.999
angles (deg): 131.73 131.68 70.69
Fractional positions:
Au 0.500 0.500 0.000
Li 0.750 0.250 0.500
Cd 0.250 0.750 0.500
Li 0.000 0.000 0.000

***

What should be chosen as the least stable of them? Choose <A>.

***

<A>
VASP calculation (PBE) on a geometry-optimized Li2Cd2Au5 structure.

- Density of states at the Fermi level: 0.286 states/eV/atom
- Crystal system: orthorhombic
- Symmetry: Ima2 (46)

a b c (Å): 4.689 8.897 9.754
angles (deg): 117.13 103.91 90.00
Fractional positions:
Li 0.000 0.889 0.000
Li 0.500 0.389 0.000
Li 0.498 0.886 0.500
Au 0.705 0.092 0.910
Au 0.705 0.592 0.910
Au 0.996 0.176 0.500
Au 0.004 0.676 0.500
Au 0.593 0.232 0.691
Cd 0.886 0.806 0.275
Cd 0.111 0.032 0.725
Au 0.407 0.541 0.309
Li 0.502 0.386 0.500
Au 0.598 0.732 0.691
Au 0.295 0.682 0.090
Cd 0.889 0.306 0.275
Cd 0.114 0.532 0.725
Au 0.295 0.182 0.090
Au 0.402 0.041 0.309

***

<B>
VASP calculation (PBE) on a geometry-optimized Li2Cd2Au5 structure.

- Density of states at the Fermi level: 0.289 states/eV/atom
- Crystal system: monoclinic
- Symmetry: C2/m (12)

a b c (Å): 2.857 7.466 9.779
angles (deg): 125.27 90.00 101.03
Fractional positions:
Cd 0.349 0.698 0.679
Au 0.291 0.583 0.917
Au 0.111 0.222 0.545
Cd 0.651 0.302 0.321
Li 0.071 0.143 0.785
Au 0.889 0.778 0.455
Li 0.929 0.857 0.215
Au 0.000 0.000 0.000
Au 0.709 0.417 0.083

***

What should be chosen as the least stable of them? Choose <B>.